1.
This record from Alexandria via LeMat-Bulk describes crystalline BeReTe2 at its relaxed geometry. The functional is GGA-PBEsol.

a b c (Å): 7.7454 3.3283 6.5097
angles (deg): 90.00 111.42 90.00
With the nearest neighbours (Å) after each atom.
Positions (direct):
Be: 0.0000 0.0000 0.0000  4 Te 2.53
Be: 0.5000 0.5000 0.0000  4 Te 2.53
Re: 0.0000 0.5000 0.5000  6 Te 2.70-2.74
Re: 0.5000 0.0000 0.5000  6 Te 2.70-2.74
Te: 0.2185 0.5000 0.2585  2 Be 2.53, 3 Re 2.70-2.74
Te: 0.2815 0.0000 0.7415  2 Be 2.53, 3 Re 2.70-2.74
Te: 0.7185 0.0000 0.2585  2 Be 2.53, 3 Re 2.70-2.74
Te: 0.7815 0.5000 0.7415  2 Be 2.53, 3 Re 2.70-2.74

As for the crystal system: monoclinic. As for the formation energy (no corrections): 0.63 eV per atom.

---

2.
This record from Alexandria via LeMat-Bulk describes crystalline BeRe2Te at its relaxed geometry. The functional is GGA-PBEsol.

a b c (Å): 3.0755 3.0755 6.2024
angles (deg): 90.00 90.00 90.00
With the nearest neighbours (Å) after each atom.
Positions (direct):
Be: 0.0000 0.0000 0.0000  8 Re 2.50
Re: 0.5000 0.5000 0.1992  1 Re 2.47, 4 Be 2.50
Re: 0.5000 0.5000 0.8008  1 Re 2.47, 4 Be 2.50
Te: 0.0000 0.0000 0.5000  8 Re 2.87, 4 Te 3.08, 2 Be 3.10

As for the crystal system: tetragonal. As for the formation energy (no corrections): 0.51 eV per atom.

---

3.
This record from Alexandria via LeMat-Bulk describes crystalline Ti2BeRe at its relaxed geometry. The functional is GGA-PBEsol.

a b c (Å): 6.0608 6.0608 6.0608
angles (deg): 90.00 90.00 90.00
With the nearest neighbours (Å) after each atom.
Positions (direct):
Ti: 0.2500 0.2500 0.2500  4 Re 2.62, 4 Be 2.62
Ti: 0.2500 0.2500 0.7500  4 Re 2.62, 4 Be 2.62
Ti: 0.2500 0.7500 0.2500  4 Re 2.62, 4 Be 2.62
Ti: 0.2500 0.7500 0.7500  4 Re 2.62, 4 Be 2.62
Ti: 0.7500 0.2500 0.2500  4 Re 2.62, 4 Be 2.62
Ti: 0.7500 0.2500 0.7500  4 Re 2.62, 4 Be 2.62
Ti: 0.7500 0.7500 0.2500  4 Re 2.62, 4 Be 2.62
Ti: 0.7500 0.7500 0.7500  4 Re 2.62, 4 Be 2.62
Be: 0.0000 0.0000 0.0000  8 Ti 2.62
Be: 0.0000 0.5000 0.5000  8 Ti 2.62
Be: 0.5000 0.0000 0.5000  8 Ti 2.62
Be: 0.5000 0.5000 0.0000  8 Ti 2.62
Re: 0.0000 0.0000 0.5000  8 Ti 2.62
Re: 0.0000 0.5000 0.0000  8 Ti 2.62
Re: 0.5000 0.0000 0.0000  8 Ti 2.62
Re: 0.5000 0.5000 0.5000  8 Ti 2.62

As for the crystal system: cubic. The calculation puts the formation energy at -0.27 eV/atom.

---

4.
This record from Alexandria via LeMat-Bulk describes crystalline BeTlRe2 at its relaxed geometry. The functional is GGA-PBEsol.

a b c (Å): 3.7682 3.7682 4.2764
angles (deg): 90.00 90.00 90.00
With the nearest neighbours (Å) after each atom.
Positions (direct):
Be: 0.0000 0.0000 0.0000  4 Tl 2.66, 8 Re 2.85
Tl: 0.5000 0.5000 0.0000  4 Be 2.66, 8 Re 2.85
Re: 0.0000 0.5000 0.5000  4 Re 2.66, 4 Tl 2.85, 4 Be 2.85
Re: 0.5000 0.0000 0.5000  4 Re 2.66, 4 Tl 2.85, 4 Be 2.85

As for the crystal system: tetragonal. The excess energy over the best structure of this formula in the dataset comes out at 138 meV per atom. The calculation puts the formation energy at 0.95 eV/atom.

---

5.
This record from Alexandria via LeMat-Bulk describes crystalline Be2TlRe at its relaxed geometry. The functional is GGA-PBEsol.

a b c (Å): 3.4977 3.4977 8.6041
angles (deg): 90.00 90.00 90.00
With the nearest neighbours (Å) after each atom.
Positions (direct):
Be: 0.0000 0.0000 0.0000  4 Re 2.47
Be: 0.0000 0.5000 0.2500  4 Tl 2.47
Be: 0.5000 0.0000 0.7500  4 Tl 2.47
Be: 0.5000 0.5000 0.5000  4 Re 2.47
Tl: 0.0000 0.5000 0.7500  4 Be 2.47
Tl: 0.5000 0.0000 0.2500  4 Be 2.47
Re: 0.0000 0.0000 0.5000  4 Be 2.47
Re: 0.5000 0.5000 0.0000  4 Be 2.47

As for the crystal system: tetragonal. The excess energy over the best structure of this formula in the dataset comes out at 145 meV per atom. The calculation puts the formation energy at 0.47 eV/atom.

---

6.
This record from Alexandria via LeMat-Bulk describes crystalline BeTlRe3 at its relaxed geometry. The functional is GGA-PBEsol.

a b c (Å): 4.2166 4.2166 4.2166
angles (deg): 90.00 90.00 90.00
With the nearest neighbours (Å) after each atom.
Positions (direct):
Be: 0.0000 0.0000 0.0000  6 Re 2.11
Tl: 0.5000 0.5000 0.5000  12 Re 2.98
Re: 0.0000 0.0000 0.5000  2 Be 2.11
Re: 0.0000 0.5000 0.0000  2 Be 2.11
Re: 0.5000 0.0000 0.0000  2 Be 2.11

As for the crystal system: cubic. The calculation puts the formation energy at 1.14 eV/atom.

---

Calculated values (eV per atom) of total energy for the records, taken in order: -5.47 -8.04 -8.76 -7.38 -5.52 -8.19.
Calculated values (states/eV/f.u.) of Fermi-level density of states for the records, taken in order: 3.552 2.799 2.549 3.825 0.616 5.852.